Below is an optimized crystal structure of CdBr, with properties calculated at the PBE-GGA level.

Unit cell a=4.8447 b=4.8447 c=4.8447 alpha=60.00 beta=60.00 gamma=60.00
Element x y z (fractional)
Br (0.0000, 0.0000, 0.0000)
Cd (0.7500, 0.7500, 0.7500)

## Properties
Density of states at the Fermi level   1.3 states/eV/cell
Space group   F-43m, No. 216
E_form (uncorrected)   -0.245 eV per atom



Below is an optimized crystal structure of CaAcCuPt, with properties calculated at the PBE-GGA level.

Unit cell a=5.1976 b=5.1976 c=5.1976 alpha=60.00 beta=60.00 gamma=60.00
Element x y z (fractional)
Ac (0.2500, 0.2500, 0.2500)
Ca (0.7500, 0.7500, 0.7500)
Cu (0.0000, 0.0000, 0.0000)
Pt (0.5000, 0.5000, 0.5000)

## Properties
Density of states at the Fermi level   3.6 states/eV/cell
Space group   F-43m, No. 216
Energy above the most stable polymorph in this dataset   0.1061 eV per atom
ΔE_f   -0.5459 eV per atom



no.,spin magnetization (μB per cell)
1,0.0
2,0.0